(1)
Material: BaBe4
Method: DFT, PBE
State: relaxed

Unit cell a=5.9156 b=5.9156 c=4.6882 alpha=90.00 beta=90.00 gamma=90.00
Fractional coordinates of all 10 atoms:
Ba: 0.0000 0.0000 0.0000
Ba: 0.5000 0.5000 0.5000
Be: 0.0000 0.3109 0.5000
Be: 0.0000 0.6891 0.5000
Be: 0.1891 0.5000 0.0000
Be: 0.3109 0.0000 0.5000
Be: 0.5000 0.1891 0.0000
Be: 0.5000 0.8109 0.0000
Be: 0.6891 0.0000 0.5000
Be: 0.8109 0.5000 0.0000

- D(E_F): 0.465 states/eV/atom
- Space-group type: I4/mmm
- Spin magnetization: 0.000 μB per atom
- Relative energy among the computed polymorphs: 1.67 eV/f.u.
- Energy relative to the elements: 3.7 eV/f.u.


(2)
Material: BaBe2
Method: DFT, PBE
State: relaxed

Unit cell a=12.0760 b=3.9358 c=6.3670 alpha=90.00 beta=111.46 gamma=90.00
Fractional coordinates of all 12 atoms:
Ba: 0.1644 0.0000 0.1805
Ba: 0.3356 0.5000 0.8195
Ba: 0.6644 0.5000 0.1805
Ba: 0.8356 0.0000 0.8195
Be: 0.0341 0.5000 0.6718
Be: 0.0807 0.0000 0.6235
Be: 0.4193 0.5000 0.3765
Be: 0.4659 0.0000 0.3282
Be: 0.5341 0.0000 0.6718
Be: 0.5807 0.5000 0.6235
Be: 0.9193 0.0000 0.3765
Be: 0.9659 0.5000 0.3282

- D(E_F): 0.507 states/eV/atom
- Space-group type: C2/m
- Spin magnetization: 0.000 μB per atom
- Relative energy among the computed polymorphs: 0.25 eV/f.u.
- Energy relative to the elements: 1.2 eV/f.u.


(3)
Material: BaBe
Method: DFT, PBE
State: relaxed

Unit cell a=14.1399 b=4.0061 c=8.8658 alpha=90.00 beta=128.65 gamma=90.00
Fractional coordinates of all 12 atoms:
Ba: 0.0000 0.0000 0.0000
Ba: 0.1341 0.0000 0.6715
Ba: 0.3434 0.0000 0.2431
Ba: 0.5000 0.5000 0.0000
Ba: 0.6341 0.5000 0.6715
Ba: 0.8434 0.5000 0.2431
Be: 0.1632 0.5000 0.4050
Be: 0.2688 0.0000 0.4996
Be: 0.3365 0.5000 0.5260
Be: 0.6632 0.0000 0.4050
Be: 0.7688 0.5000 0.4996
Be: 0.8365 0.0000 0.5260

- D(E_F): 0.914 states/eV/atom
- Space-group type: Cm
- Spin magnetization: 0.000 μB per atom
- Relative energy among the computed polymorphs: 0.13 eV/f.u.
- Energy relative to the elements: 0.9 eV/f.u.


(4)
Material: Ba5Be
Method: DFT, PBE
State: relaxed

Unit cell a=7.3768 b=7.3768 c=6.1775 alpha=90.00 beta=90.00 gamma=120.00
Fractional coordinates of all 6 atoms:
Ba: 0.0000 0.7063 0.0000
Ba: 0.2937 0.2937 0.0000
Ba: 0.3333 0.6667 0.5000
Ba: 0.6667 0.3333 0.5000
Ba: 0.7063 0.0000 0.0000
Be: 0.0000 0.0000 0.5000

- D(E_F): 1.725 states/eV/atom
- Space-group type: P-62m
- Spin magnetization: 0.000 μB per atom
- Relative energy among the computed polymorphs: 1.10 eV/f.u.
- Energy relative to the elements: 2.4 eV/f.u.


Q: spin magnetization of number 4 (Ba5Be)?
A: 0.000 μB per atom


Q: Which value of energy relative to the elements does entry 4 give?
A: 2.4 eV/f.u.


Q: Which of these has the highest energy relative to the elements?
A: BaBe4